[1]
Below is crystalline Pr4IrOsCl2 at its relaxed geometry, with properties calculated at the PBE level.

abc: 4.139 7.178 7.976
angles: 107.35 90.00 90.00
Fractional coordinates of all 8 atoms:
Pr 0.500 0.240 0.204
Pr 0.500 0.760 0.796
Pr 0.000 0.268 0.793
Pr 0.000 0.732 0.207
Ir 0.000 0.000 0.000
Os 0.500 0.500 0.000
Cl 0.500 0.000 0.500
Cl 0.000 0.500 0.500

Results
Calculated volume, A^3/atom: 28.274
Total energy, eV per atom: -6.319
Crystal system: monoclinic


[2]
Below is crystalline LiHg2Bi2 at its relaxed geometry, with properties calculated at the PBE level.

abc: 3.515 3.515 10.718
angles: 99.44 99.44 90.00
Fractional coordinates of all 5 atoms:
Li 0.000 0.000 0.000
Hg 0.579 0.579 0.159
Hg 0.421 0.421 0.841
Bi 0.808 0.808 0.616
Bi 0.192 0.192 0.384

Results
Calculated volume, A^3/atom: 25.756
Energy relative to the elements, eV per atom: -0.09
Crystal system: tetragonal